(1)
The following is a PBE calculation of MgRe2W after structural relaxation, from Alexandria via LeMat-Bulk.

The structure in extended XYZ format:
```
4
Lattice="4.472 0.000 0.000 0.000 2.689 0.004 0.000 0.998 5.189" Properties=species:S:1:pos:R:3 pbc="T T T"
W 0.000 1.763 2.612
Mg 2.236 2.782 3.911
Re 2.236 0.910 1.300
Re 0.000 1.074 5.156
```

## Properties
Formation energy: 227 meV per atom
Calculated volume: 62 Å³/cell
Space-group type: No. 6
Raw total energy: -9.634 eV per atom

***

(2)
The following is a PBE calculation of Cs2SbBr6O after structural relaxation, from Alexandria via LeMat-Bulk.

The structure in extended XYZ format:
```
10
Lattice="-7.605 3.663 1.189 -1.571 -0.549 -8.361 -6.601 -2.839 -2.919" Properties=species:S:1:pos:R:3 pbc="T T T"
Br -5.475 -0.380 -3.292
Br -2.947 0.411 -6.183
Br -10.303 0.654 -6.799
Br -2.093 0.710 -1.635
Br -7.084 2.404 -5.536
Br -6.229 2.702 -0.989
Cs -9.397 1.190 -2.658
Cs -6.380 -0.916 -7.433
Sb 0.000 0.000 0.000
O -4.588 1.557 -3.586
```

## Properties
Formation energy (no corrections): -0.8072 eV/atom
Calculated volume: 355 Å³/cell
Space-group type: No. 139
Raw total energy: -2.890 eV per atom

***

(3)
The following is a PBE calculation of KB after structural relaxation, from Alexandria via LeMat-Bulk.

The structure in extended XYZ format:
```
12
Lattice="-3.337 9.660 -4.671 -7.552 -6.884 4.676 0.381 1.491 2.811" Properties=species:S:1:pos:R:3 pbc="T T T"
K -7.663 1.325 3.077
K -4.113 6.614 -2.037
K -6.983 3.998 -0.260
K -2.844 2.943 -0.261
K -6.395 -2.347 4.853
K -3.524 0.269 3.075
B -9.079 -1.671 3.031
B -5.360 1.720 0.728
B -3.716 -3.038 3.029
B -6.792 7.306 -0.213
B -1.429 5.938 -0.216
B -5.148 2.548 2.087
```

## Properties
Formation energy: 272 meV per atom
Calculated volume: 350 Å³/cell
Space-group type: No. 194
Raw total energy: -3.616 eV per atom

***

(4)
The following is a PBE calculation of Rb2Er2HfS6 after structural relaxation, from Alexandria via LeMat-Bulk.

The structure in extended XYZ format:
```
11
Lattice="-2.321 2.841 -5.655 -3.407 -5.087 2.820 -2.179 5.911 5.251" Properties=species:S:1:pos:R:3 pbc="T T T"
Rb -3.223 -3.741 1.381
Rb -2.506 1.495 -4.216
Er -4.134 0.511 2.620
Er -3.772 3.154 -0.205
S -5.769 2.361 1.469
S -2.933 2.291 4.308
S -2.589 4.804 1.622
S -5.318 -1.138 0.794
S -2.137 1.304 0.946
S -4.974 1.374 -1.892
Hf -1.089 2.956 2.625
```

## Properties
Formation energy (no corrections): -1.8124 eV/atom
Calculated volume: 311 Å³/cell
Space-group type: No. 12
Raw total energy: -5.974 eV per atom

***

(5)
The following is a PBE calculation of Ca3PtO4 after structural relaxation, from Alexandria via LeMat-Bulk.

The structure in extended XYZ format:
```
16
Lattice="4.507 0.000 0.000 0.000 7.106 0.000 0.000 0.000 8.112" Properties=species:S:1:pos:R:3 pbc="T T T"
O 2.544 1.633 0.000
O 2.544 4.919 6.115
O 0.290 2.186 6.052
O 2.544 4.919 1.996
O 0.290 5.473 4.056
O 0.290 2.186 2.060
O 0.290 5.892 0.000
O 2.544 1.214 4.056
Ca 2.544 2.417 2.198
Ca 2.544 2.417 5.913
Ca 2.544 6.365 0.000
Ca 0.290 0.741 4.056
Ca 0.290 4.689 1.857
Ca 0.290 4.689 6.254
Pt 0.290 2.038 0.000
Pt 2.544 5.068 4.056
```

## Properties
Formation energy (no corrections): -2.1280 eV/atom
Calculated volume: 260 Å³/cell
Space-group type: No. 59
Raw total energy: -6.113 eV per atom

***

(6)
The following is a PBE calculation of Cs2CeTm3O8 after structural relaxation, from Alexandria via LeMat-Bulk.

The structure in extended XYZ format:
```
14
Lattice="-2.721 -3.229 -5.479 -5.489 -4.135 0.795 -7.099 3.120 -2.681" Properties=species:S:1:pos:R:3 pbc="T T T"
Tm -4.229 -3.559 -2.379
Tm -6.940 -5.602 -1.986
Tm -5.573 -5.154 -5.086
O -9.358 -0.332 -6.133
O -7.961 1.326 -3.320
O -4.974 -3.053 -4.464
O -10.779 -0.797 -2.912
O -12.056 -2.449 -5.671
O -7.608 -5.037 -4.083
O -6.302 -3.488 -1.454
O -3.474 -1.512 -1.751
Cs -5.185 0.674 -2.190
Cs -7.751 -1.998 -3.707
Ce -8.521 -6.967 -4.764
```

## Properties
Formation energy (no corrections): -2.8844 eV/atom
Calculated volume: 297 Å³/cell
Space-group type: No. 160
Raw total energy: -7.222 eV per atom

***

(7)
The following is a PBE calculation of Th3Ge4Ir2 after structural relaxation, from Alexandria via LeMat-Bulk.

The structure in extended XYZ format:
```
9
Lattice="4.363 0.000 0.000 -2.182 5.399 -1.322 0.000 0.047 8.393" Properties=species:S:1:pos:R:3 pbc="T T T"
Th 0.000 0.000 0.000
Th 2.182 1.883 5.041
Th 0.000 3.563 2.029
Ge 2.182 5.011 4.064
Ge 0.000 0.435 3.006
Ge 2.182 2.331 -0.089
Ge 0.000 3.115 7.160
Ir 0.000 4.196 4.933
Ir 2.182 1.250 2.138
```

## Properties
Formation energy: -863 meV per atom
Calculated volume: 198 Å³/cell
Space-group type: No. 12
Raw total energy: -7.357 eV per atom

***

(8)
The following is a PBE calculation of CeScPt4 after structural relaxation, from Alexandria via LeMat-Bulk.

The structure in extended XYZ format:
```
6
Lattice="-2.989 -4.170 1.700 1.035 -4.985 -1.815 2.147 -3.691 3.314" Properties=species:S:1:pos:R:3 pbc="T T T"
Pt 0.120 -8.035 2.001
Pt -0.399 -5.532 2.912
Pt -0.957 -6.182 0.338
Pt 1.621 -5.942 1.148
Ce 0.048 -3.211 0.800
Sc 0.000 0.000 0.000
```

## Properties
Formation energy: -1000 meV per atom
Calculated volume: 112 Å³/cell
Space-group type: No. 216
Raw total energy: -7.072 eV per atom